A relaxed Ce4InCo crystal. Source: the Alexandria database, functional PBE.

Cell and atoms, written as CIF:
```
data_Ce4InCo
_cell_length_a 16.4521
_cell_length_b 6.7557
_cell_length_c 5.7664
_cell_angle_alpha 90.00
_cell_angle_beta 109.30
_cell_angle_gamma 90.00
_space_group_name_H-M_alt 'C 1 2/m 1'
_space_group_IT_number 12
_space_group_name_Hall '-C 2y'
loop_
_atom_site_label
_atom_site_type_symbol
_atom_site_fract_x
_atom_site_fract_y
_atom_site_fract_z
Ce1 Ce 0.0000 0.2268 0.0000
Ce2 Ce 0.1179 0.2123 0.6231
Ce3 Ce 0.1948 0.5000 0.2007
In1 In 0.1965 0.0000 0.1978
Co1 Co 0.0311 0.5000 0.3345
```

Summary:
Final energy = -5.790 eV/atom
E_form = -0.1930 eV/atom

***

A relaxed K2HfAg2Te4 crystal. Source: the Alexandria database, functional PBE.

Cell and atoms, written as CIF:
```
data_K2HfAg2Te4
_cell_length_a 16.3554
_cell_length_b 4.3409
_cell_length_c 8.4043
_cell_angle_alpha 90.00
_cell_angle_beta 110.67
_cell_angle_gamma 90.00
_space_group_name_H-M_alt 'C 1 2/m 1'
_space_group_IT_number 12
_space_group_name_Hall '-C 2y'
loop_
_atom_site_label
_atom_site_type_symbol
_atom_site_fract_x
_atom_site_fract_y
_atom_site_fract_z
K1 K 0.1365 0.0000 0.0820
Hf1 Hf 0.0000 0.0000 0.5000
Ag1 Ag 0.1860 0.5000 0.4781
Te1 Te 0.0088 0.5000 0.2656
Te2 Te 0.1882 0.0000 0.6993
```

Summary:
Final energy = -4.081 eV/atom
Formation energy without anion corrections = -701 meV/atom